Model w:
Compound: Re2TcIr
Source: the Alexandria database
Functional: PBE-GGA
Structure: optimized geometry

Results
DOS(E_F)   0.980 states/eV per atom
Density   18.20 g/cm³
Total magnetization   0.0 μB per formula unit

Cell lengths 3.2890, 3.2890, 5.5881 Å; angles 90.00, 90.00, 90.00 degrees
Fractional coordinates of all 4 atoms:
Re (0.0000, 0.0000, 0.2353)
Re (0.0000, 0.0000, 0.7647)
Tc (0.5000, 0.5000, 0.5000)
Ir (0.5000, 0.5000, 0.0000)

---

Model x:
Compound: Re2TcIr
Source: the Alexandria database
Functional: PBE-GGA
Structure: optimized geometry

Results
DOS(E_F)   0.654 states/eV per atom
Density   18.64 g/cm³
Total magnetization   0.0 μB per formula unit

Cell lengths 2.7558, 2.7558, 26.9295 Å; angles 90.00, 90.00, 120.00 degrees
Fractional coordinates of all 12 atoms:
Re (0.0000, 0.0000, 0.0000)
Re (0.0000, 0.0000, 0.2490)
Re (0.3333, 0.6667, 0.6667)
Re (0.3333, 0.6667, 0.9157)
Re (0.6667, 0.3333, 0.3333)
Re (0.6667, 0.3333, 0.5823)
Tc (0.0000, 0.0000, 0.5000)
Tc (0.3333, 0.6667, 0.1667)
Tc (0.6667, 0.3333, 0.8334)
Ir (0.0000, 0.0000, 0.7495)
Ir (0.3333, 0.6667, 0.4162)
Ir (0.6667, 0.3333, 0.0828)

---

model x is preferred energetically. Next in line: 0.331 eV/atom higher.

---

Model w:
Compound: Re2TcIr
Source: the Alexandria database
Functional: PBE-GGA
Structure: optimized geometry

Results
DOS(E_F)   0.806 states/eV per atom
Density   18.70 g/cm³
Total magnetization   0.0 μB per formula unit

Cell lengths 3.8889, 3.8889, 7.7818 Å; angles 90.00, 90.00, 90.00 degrees
Fractional coordinates of all 8 atoms:
Re (0.0000, 0.5000, 0.2500)
Re (0.0000, 0.5000, 0.7500)
Re (0.5000, 0.0000, 0.2500)
Re (0.5000, 0.0000, 0.7500)
Tc (0.0000, 0.0000, 0.0000)
Tc (0.5000, 0.5000, 0.5000)
Ir (0.0000, 0.0000, 0.5000)
Ir (0.5000, 0.5000, 0.0000)

---

Model x:
Compound: Re2TcIr
Source: the Alexandria database
Functional: PBE-GGA
Structure: optimized geometry

Results
DOS(E_F)   0.640 states/eV per atom
Density   18.43 g/cm³
Total magnetization   0.0 μB per formula unit

Cell lengths 9.7893, 4.7339, 5.2463 Å; angles 90.00, 100.83, 90.00 degrees
Fractional coordinates of all 16 atoms:
Re (0.0624, 0.1676, 0.3400)
Re (0.0624, 0.3324, 0.8400)
Re (0.4357, 0.7393, 0.9742)
Re (0.4357, 0.7607, 0.4742)
Re (0.5643, 0.2393, 0.5258)
Re (0.5643, 0.2607, 0.0258)
Re (0.9376, 0.6676, 0.1600)
Re (0.9376, 0.8324, 0.6600)
Tc (0.1809, 0.6666, 0.5295)
Tc (0.1809, 0.8334, 0.0295)
Tc (0.8191, 0.1666, 0.9705)
Tc (0.8191, 0.3334, 0.4705)
Ir (0.3091, 0.1784, 0.7071)
Ir (0.3091, 0.3216, 0.2071)
Ir (0.6909, 0.6784, 0.7929)
Ir (0.6909, 0.8216, 0.2929)

---

model w is preferred energetically. Next in line: 0.095 eV/atom higher.